[1]
## ZrNbCuBi (PBE)

Data for a relaxed ZrNbCuBi crystal.

The calculation puts the total energy at -6.207 eV per atom. For the calculated volume, the calculation gives 318.96 Å³/cell. Its distance to the lowest polymorph of the same formula is 0.2065 eV/atom.

a b c (Å): 6.8325 6.8325 6.8325
angles (deg): 90.00 90.00 90.00
Space group F-43m (No. 216)
One atom of each set of equivalent atoms:
Zr  0.0000  0.0000  0.0000 [4 per cell]
Nb  0.2500  0.2500  0.7500 [4 per cell]
Cu  0.2500  0.2500  0.2500 [4 per cell]
Bi  0.0000  0.0000  0.5000 [4 per cell]

=====

[2]
## ZrNbCuBi (PBE)

Data for a relaxed ZrNbCuBi crystal.

The calculation puts the total energy at -6.413 eV per atom. For the calculated volume, the calculation gives 315.11 Å³/cell. Its distance to the lowest polymorph of the same formula is 0.0000 eV/atom.

a b c (Å): 6.8049 6.8049 6.8049
angles (deg): 90.00 90.00 90.00
Space group F-43m (No. 216)
One atom of each set of equivalent atoms:
Zr  0.0000  0.0000  0.0000 [4 per cell]
Nb  0.0000  0.0000  0.5000 [4 per cell]
Cu  0.2500  0.2500  0.7500 [4 per cell]
Bi  0.2500  0.2500  0.2500 [4 per cell]

=====

[3]
## Nd5CuBi3 (PBE)

Data for a relaxed Nd5CuBi3 crystal.

The calculation puts the total energy at -5.129 eV per atom. For the calculated volume, the calculation gives 529.00 Å³/cell.

a b c (Å): 9.6160 9.6160 6.6060
angles (deg): 90.00 90.00 120.00
Space group P6_3/mcm (No. 193)
One atom of each set of equivalent atoms:
Nd  0.0000  0.2580  0.2500 [6 per cell]
Nd  0.3333  0.6667  0.0000 [4 per cell]
Cu  0.0000  0.0000  0.0000 [2 per cell]
Bi  0.0000  0.3842  0.7500 [6 per cell]

=====

[4]
## Nd2CuNiBi4 (PBE)

Data for a relaxed Nd2CuNiBi4 crystal.

The calculation puts the total energy at -4.877 eV per atom. For the calculated volume, the calculation gives 205.13 Å³/cell.

a b c (Å): 4.5906 4.5906 9.7337
angles (deg): 90.00 90.00 90.00
Space group P-4m2 (No. 115)
One atom of each set of equivalent atoms:
Nd  0.0000  0.5000  0.2302 [2 per cell]
Cu  0.0000  0.0000  0.0000 [1 per cell]
Ni  0.5000  0.5000  0.0000 [1 per cell]
Bi  0.0000  0.0000  0.5000 [1 per cell]
Bi  0.0000  0.5000  0.8502 [2 per cell]
Bi  0.5000  0.5000  0.5000 [1 per cell]

=====

[5]
## TbNdCu2Bi4 (PBE)

Data for a relaxed TbNdCu2Bi4 crystal.

The calculation puts the total energy at -4.585 eV per atom. For the calculated volume, the calculation gives 202.93 Å³/cell.

a b c (Å): 4.5586 4.5586 9.7653
angles (deg): 90.00 90.00 90.00
Space group P4mm (No. 99)
One atom of each set of equivalent atoms:
Tb  0.0000  0.0000  0.0000 [1 per cell]
Nd  0.5000  0.5000  0.5282 [1 per cell]
Cu  0.0000  0.5000  0.7712 [2 per cell]
Bi  0.0000  0.0000  0.6072 [1 per cell]
Bi  0.0000  0.5000  0.2612 [2 per cell]
Bi  0.5000  0.5000  0.9334 [1 per cell]

=====

[6]
## CuNiBi2 (PBE)

Data for a relaxed CuNiBi2 crystal.

The calculation puts the total energy at -3.775 eV per atom. For the calculated volume, the calculation gives 345.29 Å³/cell.

a b c (Å): 7.0155 7.0155 7.0155
angles (deg): 90.00 90.00 90.00
Space group F-43m (No. 216)
One atom of each set of equivalent atoms:
Cu  0.0000  0.0000  0.0000 [4 per cell]
Ni  0.2500  0.2500  0.7500 [4 per cell]
Bi  0.0000  0.0000  0.5000 [4 per cell]
Bi  0.2500  0.2500  0.2500 [4 per cell]

=====

[7]
## Cu2NiBi (PBE)

Data for a relaxed Cu2NiBi crystal.

The calculation puts the total energy at -4.055 eV per atom. For the calculated volume, the calculation gives 244.92 Å³/cell.

a b c (Å): 6.2566 6.2566 6.2566
angles (deg): 90.00 90.00 90.00
Space group F-43m (No. 216)
One atom of each set of equivalent atoms:
Cu  0.0000  0.0000  0.0000 [4 per cell]
Cu  0.2500  0.2500  0.2500 [4 per cell]
Ni  0.2500  0.2500  0.7500 [4 per cell]
Bi  0.0000  0.0000  0.5000 [4 per cell]

=====

[8]
## CuNiBiPd (PBE)

Data for a relaxed CuNiBiPd crystal.

The calculation puts the total energy at -4.525 eV per atom. For the calculated volume, the calculation gives 261.11 Å³/cell. Its distance to the lowest polymorph of the same formula is 0.0751 eV/atom.

a b c (Å): 6.3916 6.3916 6.3916
angles (deg): 90.00 90.00 90.00
Space group F-43m (No. 216)
One atom of each set of equivalent atoms:
Cu  0.0000  0.0000  0.0000 [4 per cell]
Ni  0.2500  0.2500  0.2500 [4 per cell]
Bi  0.2500  0.2500  0.7500 [4 per cell]
Pd  0.0000  0.0000  0.5000 [4 per cell]

=====

[9]
## CuNiBiPd (PBE)

Data for a relaxed CuNiBiPd crystal.

The calculation puts the total energy at -4.600 eV per atom. For the calculated volume, the calculation gives 255.48 Å³/cell. Its distance to the lowest polymorph of the same formula is 0.0000 eV/atom.

a b c (Å): 6.3453 6.3453 6.3453
angles (deg): 90.00 90.00 90.00
Space group F-43m (No. 216)
One atom of each set of equivalent atoms:
Cu  0.0000  0.0000  0.0000 [4 per cell]
Ni  0.0000  0.0000  0.5000 [4 per cell]
Bi  0.2500  0.2500  0.7500 [4 per cell]
Pd  0.2500  0.2500  0.2500 [4 per cell]

=====

[10]
## CuNiBiPt (PBE)

Data for a relaxed CuNiBiPt crystal.

The calculation puts the total energy at -4.785 eV per atom. For the calculated volume, the calculation gives 257.40 Å³/cell. Its distance to the lowest polymorph of the same formula is 0.0000 eV/atom.

a b c (Å): 6.3611 6.3611 6.3611
angles (deg): 90.00 90.00 90.00
Space group F-43m (No. 216)
One atom of each set of equivalent atoms:
Cu  0.0000  0.0000  0.0000 [4 per cell]
Ni  0.0000  0.0000  0.5000 [4 per cell]
Bi  0.2500  0.2500  0.2500 [4 per cell]
Pt  0.2500  0.2500  0.7500 [4 per cell]

=====

[11]
## CuNiBiPt (PBE)

Data for a relaxed CuNiBiPt crystal.

The calculation puts the total energy at -4.700 eV per atom. For the calculated volume, the calculation gives 265.10 Å³/cell. Its distance to the lowest polymorph of the same formula is 0.0850 eV/atom.

a b c (Å): 6.4240 6.4240 6.4240
angles (deg): 90.00 90.00 90.00
Space group F-43m (No. 216)
One atom of each set of equivalent atoms:
Cu  0.0000  0.0000  0.0000 [4 per cell]
Ni  0.2500  0.2500  0.2500 [4 per cell]
Bi  0.2500  0.2500  0.7500 [4 per cell]
Pt  0.0000  0.0000  0.5000 [4 per cell]

=====

[12]
## ScCuNiBi (PBE)

Data for a relaxed ScCuNiBi crystal.

The calculation puts the total energy at -5.120 eV per atom. For the calculated volume, the calculation gives 275.87 Å³/cell. Its distance to the lowest polymorph of the same formula is 0.0000 eV/atom.

a b c (Å): 6.5098 6.5098 6.5098
angles (deg): 90.00 90.00 90.00
Space group F-43m (No. 216)
One atom of each set of equivalent atoms:
Sc  0.0000  0.0000  0.0000 [4 per cell]
Cu  0.2500  0.2500  0.2500 [4 per cell]
Ni  0.2500  0.2500  0.7500 [4 per cell]
Bi  0.0000  0.0000  0.5000 [4 per cell]